PBE Hf4PbN3, relaxed; space-group type = P6_3/mmc (194); density = 13.891 g/cm3; calculated volume = 230.3 Å³ per cell; total energy = -157.857 eV per cell
1.0
3.236 0.000 0.000
-1.618 2.803 0.000
0.000 0.000 25.387
Hf Pb N
8 2 6
Cartesian
0.000 0.000 3.852
0.000 0.000 8.842
0.000 0.000 16.545
0.000 0.000 21.535
0.000 1.869 1.345
0.000 1.869 11.348
1.618 0.934 14.038
1.618 0.934 24.042
0.000 1.869 6.347
1.618 0.934 19.040
0.000 0.000 0.000
0.000 0.000 12.693
0.000 1.869 15.267
0.000 1.869 22.813
1.618 0.934 2.573
1.618 0.934 10.120